No. 1
The following is a DFT calculation (PBE) of crystalline Li6InAu6 at its relaxed geometry.

abc: 5.564 5.564 8.880
angles: 90.00 90.00 120.00
Atoms (fractional coordinates):
Li 0.000 0.000 0.677
Li 0.000 0.000 0.323
Li 0.333 0.667 0.000
Li 0.667 0.333 0.000
Li 0.333 0.667 0.500
Li 0.667 0.333 0.500
In 0.000 0.000 0.000
Au 0.000 0.500 0.751
Au 0.500 0.000 0.751
Au 0.500 0.500 0.751
Au 0.500 0.000 0.249
Au 0.000 0.500 0.249
Au 0.500 0.500 0.249

Properties
D(E_F) = 3.93 states/eV per cell
Crystal system = hexagonal
SG = P6/mmm (191)
Energy relative to the elements = -0.412 eV/atom

=====

No. 2
The following is a DFT calculation (PBE) of crystalline Li4InAu7 at its relaxed geometry.

abc: 5.147 8.856 5.928
angles: 80.25 64.27 73.11
Atoms (fractional coordinates):
Li 0.592 0.227 0.589
Li 0.408 0.773 0.411
Li 0.767 0.655 0.812
Li 0.233 0.345 0.188
In 0.000 0.000 0.000
Au 0.785 0.912 0.518
Au 0.215 0.088 0.482
Au 0.067 0.666 0.200
Au 0.933 0.334 0.800
Au 0.364 0.521 0.752
Au 0.500 0.000 0.000
Au 0.636 0.479 0.248

Properties
D(E_F) = 3.47 states/eV per cell
Crystal system = monoclinic
SG = C2/m (12)
Energy relative to the elements = -0.307 eV/atom

=====

No. 3
The following is a DFT calculation (PBE) of crystalline Li2InAu7 at its relaxed geometry.

abc: 4.514 7.542 7.542
angles: 121.31 90.00 90.00
Atoms (fractional coordinates):
Li 0.500 0.701 0.299
Li 0.500 0.299 0.701
In 0.000 0.000 0.000
Au 0.000 0.792 0.208
Au 0.000 0.208 0.792
Au 0.500 0.075 0.304
Au 0.500 0.925 0.696
Au 0.500 0.304 0.075
Au 0.500 0.696 0.925
Au 0.500 0.500 0.500

Properties
D(E_F) = 3.20 states/eV per cell
Crystal system = orthorhombic
SG = Cmmm (65)
Energy relative to the elements = 0.005 eV/atom

=====

No. 4
The following is a DFT calculation (PBE) of crystalline LiIn4Au at its relaxed geometry.

abc: 6.037 6.037 6.037
angles: 60.00 60.00 60.00
Atoms (fractional coordinates):
Li 0.750 0.750 0.750
In 0.875 0.375 0.375
In 0.375 0.375 0.875
In 0.375 0.875 0.375
In 0.375 0.375 0.375
Au 0.000 0.000 0.000

Properties
D(E_F) = 3.05 states/eV per cell
Crystal system = cubic
SG = F-43m (216)
Energy relative to the elements = 0.124 eV/atom

=====

No. 5
The following is a DFT calculation (PBE) of crystalline Li2InAu at its relaxed geometry.

abc: 4.671 4.671 4.671
angles: 122.04 122.01 86.53
Atoms (fractional coordinates):
Li 0.000 0.000 0.000
Li 0.750 0.250 0.500
Au 0.500 0.500 0.000
In 0.250 0.750 0.500

Properties
D(E_F) = 1.12 states/eV per cell
Crystal system = tetragonal
SG = I-4m2 (119)
Energy relative to the elements = -0.473 eV/atom

=====

No. 6
The following is a DFT calculation (PBE) of crystalline Li2In2Au at its relaxed geometry.

abc: 6.928 6.928 3.990
angles: 90.00 90.00 90.00
Atoms (fractional coordinates):
Li 0.358 0.858 0.000
Li 0.858 0.642 0.000
Li 0.642 0.142 0.000
Li 0.142 0.358 0.000
Au 0.000 0.000 0.000
Au 0.500 0.500 0.000
In 0.164 0.664 0.500
In 0.664 0.836 0.500
In 0.836 0.336 0.500
In 0.336 0.164 0.500

Properties
D(E_F) = 2.39 states/eV per cell
Crystal system = tetragonal
SG = P4/mbm (127)
Energy relative to the elements = -0.231 eV/atom

=====

No. 7
The following is a DFT calculation (PBE) of crystalline Li5In2Au12 at its relaxed geometry.

abc: 7.749 7.749 7.532
angles: 106.70 109.18 113.66
Atoms (fractional coordinates):
Li 0.597 0.294 0.891
Li 0.913 0.248 0.162
Li 0.500 0.000 0.500
Li 0.087 0.752 0.838
Li 0.403 0.706 0.109
In 0.251 0.251 0.000
In 0.749 0.749 0.000
Au 0.809 0.904 0.713
Au 0.645 0.439 0.600
Au 0.161 0.955 0.600
Au 0.064 0.657 0.197
Au 0.540 0.133 0.197
Au 0.709 0.582 0.292
Au 0.291 0.418 0.708
Au 0.936 0.343 0.803
Au 0.460 0.867 0.803
Au 0.355 0.561 0.400
Au 0.839 0.045 0.400
Au 0.191 0.096 0.287

Properties
D(E_F) = 5.94 states/eV per cell
Crystal system = monoclinic
SG = C2/m (12)
Energy relative to the elements = -0.330 eV/atom

=====

No. 8
The following is a DFT calculation (PBE) of crystalline LiInAu at its relaxed geometry.

abc: 3.172 3.172 6.795
angles: 90.00 90.00 120.00
Atoms (fractional coordinates):
Au 0.000 0.000 0.982
In 0.333 0.667 0.331
Li 0.667 0.333 0.687

Properties
D(E_F) = 1.36 states/eV per cell
Crystal system = trigonal
SG = P3m1 (156)
Energy relative to the elements = -0.194 eV/atom

=====

No. 9
The following is a DFT calculation (PBE) of crystalline LiIn3Au6 at its relaxed geometry.

abc: 3.151 9.519 9.519
angles: 118.80 96.33 96.33
Atoms (fractional coordinates):
Li 0.830 0.000 0.000
In 0.032 0.475 0.000
In 0.032 0.000 0.475
In 0.557 0.525 0.525
Au 0.665 0.000 0.717
Au 0.665 0.717 0.000
Au 0.387 0.000 0.229
Au 0.387 0.229 0.000
Au 0.158 0.771 0.771
Au 0.948 0.283 0.283

Properties
D(E_F) = 2.66 states/eV per cell
Crystal system = trigonal
SG = R3m (160)
Energy relative to the elements = -0.068 eV/atom
Energy above the most stable polymorph in this dataset = 1.32 eV/f.u.

=====

No. 10
The following is a DFT calculation (PBE) of crystalline LiIn5Au4 at its relaxed geometry.

abc: 4.554 6.981 7.374
angles: 92.28 107.99 90.00
Atoms (fractional coordinates):
Li 0.500 0.000 0.000
In 0.169 0.005 0.338
In 0.170 0.487 0.340
In 0.830 0.513 0.660
In 0.500 0.500 0.000
In 0.831 0.995 0.662
Au 0.663 0.751 0.327
Au 0.007 0.229 0.014
Au 0.337 0.249 0.673
Au 0.993 0.771 0.986

Properties
D(E_F) = 2.12 states/eV per cell
Crystal system = monoclinic
SG = C2/m (12)
Energy relative to the elements = -0.269 eV/atom

=====

No. 11
The following is a DFT calculation (PBE) of crystalline Li6In2Au at its relaxed geometry.

abc: 5.406 5.406 5.406
angles: 95.09 84.90 84.90
Atoms (fractional coordinates):
Li 0.164 0.500 0.164
Li 0.836 0.836 0.500
Li 0.836 0.500 0.836
Li 0.500 0.836 0.164
Li 0.164 0.164 0.500
Li 0.500 0.164 0.836
In 0.672 0.329 0.329
In 0.328 0.671 0.671
Au 0.000 0.000 0.000

Properties
D(E_F) = 3.32 states/eV per cell
Crystal system = trigonal
SG = R-3m (166)
Energy relative to the elements = -0.327 eV/atom
Energy above the most stable polymorph in this dataset = 0.00 eV/f.u.

=====

No. 12
The following is a DFT calculation (PBE) of crystalline Li4In3Au at its relaxed geometry.

abc: 3.369 3.369 12.985
angles: 90.00 90.00 90.00
Atoms (fractional coordinates):
In 0.500 0.500 0.235
In 0.500 0.500 0.500
In 0.500 0.500 0.765
Au 0.500 0.500 0.000
Li 0.000 0.000 0.896
Li 0.000 0.000 0.104
Li 0.000 0.000 0.369
Li 0.000 0.000 0.631

Properties
D(E_F) = 3.05 states/eV per cell
Crystal system = tetragonal
SG = P4/mmm (123)
Energy relative to the elements = -0.354 eV/atom

=====

No. 13
The following is a DFT calculation (PBE) of crystalline Li2InAu2 at its relaxed geometry.

abc: 4.132 5.033 10.460
angles: 61.34 78.61 65.76
Atoms (fractional coordinates):
Li 0.950 0.239 0.862
Li 0.141 0.265 0.453
Li 0.050 0.761 0.138
Li 0.859 0.735 0.547
In 0.752 0.247 0.249
In 0.248 0.753 0.751
Au 0.355 0.240 0.051
Au 0.545 0.262 0.647
Au 0.645 0.760 0.949
Au 0.455 0.738 0.353

Properties
D(E_F) = 2.90 states/eV per cell
Crystal system = monoclinic
SG = C2/m (12)
Energy relative to the elements = -0.450 eV/atom
Energy above the most stable polymorph in this dataset = 0.00 eV/f.u.

=====

No. 14
The following is a DFT calculation (PBE) of crystalline LiIn2Au6 at its relaxed geometry.

abc: 5.110 8.704 8.704
angles: 119.28 90.38 90.38
Atoms (fractional coordinates):
Li 0.250 0.250 0.750
Li 0.750 0.750 0.250
In 0.500 0.658 0.842
In 0.000 0.158 0.342
In 0.500 0.342 0.158
In 0.000 0.842 0.658
Au 0.504 0.667 0.498
Au 0.996 0.502 0.333
Au 0.496 0.333 0.502
Au 0.004 0.498 0.667
Au 0.255 0.915 0.415
Au 0.245 0.585 0.085
Au 0.745 0.085 0.585
Au 0.755 0.415 0.915
Au 0.996 0.833 0.002
Au 0.504 0.998 0.167
Au 0.004 0.167 0.998
Au 0.496 0.002 0.833

Properties
D(E_F) = 3.55 states/eV per cell
Crystal system = monoclinic
SG = C2/m (12)
Energy relative to the elements = -0.232 eV/atom
Energy above the most stable polymorph in this dataset = 0.00 eV/f.u.

=====

No. 15
The following is a DFT calculation (PBE) of crystalline LiIn2Au5 at its relaxed geometry.

abc: 6.446 6.746 5.731
angles: 124.98 123.71 90.06
Atoms (fractional coordinates):
Li 0.183 0.170 0.366
In 0.226 0.757 0.456
In 0.716 0.180 0.429
Au 0.725 0.274 0.997
Au 0.272 0.274 0.997
Au 0.670 0.659 0.877
Au 0.209 0.659 0.881
Au 0.777 0.803 0.552

Properties
D(E_F) = 2.48 states/eV per cell
Crystal system = triclinic
SG = P1 (1)
Energy relative to the elements = -0.249 eV/atom

=====

No. 16
The following is a DFT calculation (PBE) of crystalline Li8In6Au at its relaxed geometry.

abc: 7.613 7.613 7.444
angles: 59.25 59.25 60.00
Atoms (fractional coordinates):
Li 0.661 0.137 0.373
Li 0.863 0.171 0.627
Li 0.171 0.339 0.627
Li 0.586 0.586 0.242
Li 0.414 0.414 0.758
Li 0.829 0.661 0.373
Li 0.137 0.829 0.373
Li 0.339 0.863 0.627
In 0.460 0.970 0.847
In 0.030 0.276 0.153
In 0.276 0.540 0.153
In 0.724 0.460 0.847
In 0.970 0.724 0.847
In 0.540 0.030 0.153
Au 0.000 0.000 0.000

Properties
D(E_F) = 3.81 states/eV per cell
Crystal system = trigonal
SG = R-3 (148)
Energy relative to the elements = -0.258 eV/atom

=====

No. 17
The following is a DFT calculation (PBE) of crystalline Li2InAu2 at its relaxed geometry.

abc: 3.851 3.851 7.052
angles: 74.16 74.16 90.00
Atoms (fractional coordinates):
Li 0.750 0.250 0.500
Li 0.250 0.750 0.500
Au 0.390 0.390 0.220
Au 0.610 0.610 0.780
In 0.000 0.000 0.000

Properties
D(E_F) = 1.47 states/eV per cell
Crystal system = tetragonal
SG = I4/mmm (139)
Energy relative to the elements = -0.314 eV/atom
Energy above the most stable polymorph in this dataset = 0.68 eV/f.u.

=====

No. 18
The following is a DFT calculation (PBE) of crystalline Li3InAu6 at its relaxed geometry.

abc: 4.471 8.117 9.544
angles: 101.88 90.00 90.00
Atoms (fractional coordinates):
Li 0.250 0.545 0.397
Li 0.750 0.455 0.603
Li 0.250 0.352 0.820
Li 0.750 0.648 0.180
Li 0.250 0.747 0.978
Li 0.750 0.253 0.022
In 0.250 0.934 0.609
In 0.750 0.066 0.391
Au 0.250 0.469 0.103
Au 0.750 0.531 0.897
Au 0.250 0.164 0.208
Au 0.750 0.836 0.792
Au 0.250 0.611 0.689
Au 0.750 0.389 0.311
Au 0.250 0.265 0.531
Au 0.750 0.735 0.469
Au 0.250 0.823 0.273
Au 0.750 0.177 0.727
Au 0.250 0.063 0.911
Au 0.750 0.937 0.089

Properties
D(E_F) = 4.15 states/eV per cell
Crystal system = monoclinic
SG = P2_1/m (11)
Energy relative to the elements = -0.380 eV/atom
Energy above the most stable polymorph in this dataset = 0.00 eV/f.u.

=====

No. 19
The following is a DFT calculation (PBE) of crystalline LiInAu2 at its relaxed geometry.

abc: 5.128 5.128 4.120
angles: 66.32 66.32 47.33
Atoms (fractional coordinates):
Li 0.750 0.750 0.750
Au 0.000 0.000 0.000
Au 0.250 0.250 0.250
In 0.500 0.500 0.500

Properties
D(E_F) = 1.02 states/eV per cell
Crystal system = tetragonal
SG = I-4m2 (119)
Energy relative to the elements = -0.401 eV/atom

=====

No. 20
The following is a DFT calculation (PBE) of crystalline LiInAu2 at its relaxed geometry.

abc: 4.404 3.397 5.529
angles: 72.35 90.00 90.00
Atoms (fractional coordinates):
Li 0.500 0.770 0.830
Au 0.000 0.213 0.948
Au 0.500 0.044 0.289
In 0.000 0.472 0.433

Properties
D(E_F) = 1.36 states/eV per cell
Crystal system = monoclinic
SG = Pm (6)
Energy relative to the elements = -0.358 eV/atom

=====

No. 21
The following is a DFT calculation (PBE) of crystalline Li3InAu4 at its relaxed geometry.

abc: 4.460 4.461 7.408
angles: 107.44 107.52 90.00
Atoms (fractional coordinates):
In 0.500 0.000 0.000
Au 0.363 0.363 0.726
Au 0.637 0.637 0.274
Au 0.137 0.137 0.274
Au 0.863 0.863 0.726
Li 0.000 0.500 0.000
Li 0.750 0.250 0.499
Li 0.250 0.750 0.501

Properties
D(E_F) = 1.85 states/eV per cell
Crystal system = monoclinic
SG = C2/m (12)
Energy relative to the elements = -0.473 eV/atom
Energy above the most stable polymorph in this dataset = 0.00 eV/f.u.

=====

No. 22
The following is a DFT calculation (PBE) of crystalline Li2In2Au3 at its relaxed geometry.

abc: 4.584 4.491 7.475
angles: 72.92 107.86 90.00
Atoms (fractional coordinates):
Li 0.128 0.372 0.256
Li 0.872 0.628 0.744
In 0.381 0.127 0.763
In 0.619 0.873 0.237
Au 0.000 0.000 0.000
Au 0.255 0.750 0.509
Au 0.745 0.250 0.491

Properties
D(E_F) = 1.41 states/eV per cell
Crystal system = monoclinic
SG = C2/m (12)
Energy relative to the elements = -0.392 eV/atom
Energy above the most stable polymorph in this dataset = 0.00 eV/f.u.

=====

No. 23
The following is a DFT calculation (PBE) of crystalline LiInAu2 at its relaxed geometry.

abc: 7.329 4.477 3.642
angles: 90.20 59.72 127.82
Atoms (fractional coordinates):
In 0.000 0.500 0.500
Au 0.000 0.000 0.000
Au 0.500 0.000 0.500
Li 0.500 0.500 0.000

Properties
D(E_F) = 0.92 states/eV per cell
Crystal system = triclinic
SG = P-1 (2)
Energy relative to the elements = -0.400 eV/atom